An optimized crystal structure of InCoF2, computed with PBE+U.

The structure belongs to space group I-42d (No. 122); the cell edges are 4.593, 4.593 and 13.095 Å and the angles 90.00°, 90.00° and 90.00°. The asymmetric unit holds In at (0.000, 0.000, 0.000), Co at (0.000, 0.000, 0.500) and F at (0.141, 0.250, 0.625).

As for the crystal system: tetragonal. For the spin magnetization, the calculation gives 2.0 μB per formula unit. The final energy is -4.08 eV/atom. The value obtained for the theoretical density is 5.09 g/cm3.